A relaxed Dy5Pt4O crystal. Source: Alexandria via LeMat-Bulk, functional PBE.

Cell and atoms, written as POSCAR:
```
Dy5Pt4O
1.0
-4.409 4.409 2.735
4.409 -4.409 2.735
4.409 4.409 -2.735
Dy Pt O
5 4 1
Cartesian
0.000 0.000 0.000
5.493 2.199 0.148
2.199 3.324 0.148
2.209 1.084 2.882
-1.084 2.209 2.882
2.968 0.622 0.152
3.786 -1.441 2.886
0.622 5.849 0.152
1.441 3.786 2.886
0.000 0.000 3.127
```

Calculated values
SG	I4 (79)
uncorrected energy	-6.681	eV/atom
density of states at the Fermi level	0.507	states/eV/atom



A relaxed DyPt3O6 crystal. Source: Alexandria via LeMat-Bulk, functional PBE.

Cell and atoms, written as POSCAR:
```
DyPt3O6
1.0
3.556 -5.070 0.000
3.556 5.070 0.000
0.000 0.000 3.523
Dy Pt O
1 3 6
Cartesian
0.000 0.000 0.000
1.778 2.535 1.761
1.778 -2.535 1.761
3.556 0.000 0.000
3.556 3.556 1.761
2.053 1.327 0.000
2.053 -1.327 0.000
5.059 1.327 0.000
5.059 -1.327 0.000
3.556 -3.556 1.761
```

Calculated values
SG	Cmmm (65)
uncorrected energy	-6.458	eV/atom
density of states at the Fermi level	0.383	states/eV/atom



A relaxed Dy4Pt2O crystal. Source: Alexandria via LeMat-Bulk, functional PBE.

Cell and atoms, written as POSCAR:
```
Dy4Pt2O
1.0
-2.300 2.300 7.284
2.300 -2.300 7.284
2.300 2.300 -7.284
Dy Pt O
4 2 1
Cartesian
2.300 0.000 0.000
0.000 0.000 2.668
0.000 2.300 0.000
0.000 0.000 11.900
0.000 0.000 5.406
0.000 0.000 9.161
0.000 0.000 0.000
```

Calculated values
SG	I4/mmm (139)
uncorrected energy	-6.610	eV/atom
density of states at the Fermi level	0.992	states/eV/atom



A relaxed Dy2PtO crystal. Source: Alexandria via LeMat-Bulk, functional PBE.

Cell and atoms, written as POSCAR:
```
Dy2PtO
1.0
5.833 0.000 0.000
0.000 5.786 0.000
-4.768 0.000 9.860
Dy Pt O
8 4 4
Cartesian
-0.178 1.379 0.935
-2.562 4.407 5.865
-2.203 1.177 8.414
0.181 4.609 3.484
0.884 1.177 6.376
3.268 4.609 1.446
3.627 1.379 3.995
1.242 4.407 8.925
0.696 1.762 3.580
-1.689 4.024 8.510
2.753 1.762 1.350
0.369 4.024 6.280
-2.754 0.828 6.147
-0.370 4.959 1.217
1.435 0.828 8.643
3.819 4.959 3.713
```

Calculated values
SG	P2/c (13)
uncorrected energy	-7.015	eV/atom
density of states at the Fermi level	0.574	states/eV/atom



Number 1: formation energy (no corrections) -1.468 eV/atom. Number 2: formation energy (no corrections) -1.211 eV/atom. Number 3: formation energy (no corrections) -1.546 eV/atom. Number 4: formation energy (no corrections) -1.964 eV/atom.